The following is a PBE calculation of a geometry-optimized NaSr2TlCu structure, from Alexandria.

Geometry as extended XYZ:
```
5
Lattice="6.057 0.000 0.000 0.000 6.057 0.000 0.000 0.000 5.029" Properties=species:S:1:pos:R:3 pbc="T T T"
Na 0.000 0.000 0.000
Sr 0.000 3.029 2.515
Sr 3.029 0.000 2.515
Tl 3.029 3.029 0.000
Cu 3.029 3.029 2.515
```

## Properties
Excess energy over the best structure of this formula in the dataset, eV per atom: 0.000
Calculated formation energy, meV/atom: -36
Volume, Å³/cell: 185
Electronic total energy, eV per atom: -2.2655
Space-group type: No. 123

The following is a PBE calculation of a geometry-optimized AsH structure, from Alexandria.

Geometry as extended XYZ:
```
8
Lattice="7.079 0.000 0.000 0.000 7.079 0.000 0.000 0.000 2.638" Properties=species:S:1:pos:R:3 pbc="T T T"
As 1.059 1.059 0.000
As 2.481 4.599 1.319
As 4.599 2.481 1.319
As 6.021 6.021 0.000
H 0.720 6.360 0.000
H 2.820 2.820 1.319
H 4.260 4.260 1.319
H 6.360 0.720 0.000
```

## Properties
Excess energy over the best structure of this formula in the dataset, eV per atom: 0.470
Volume, Å³/cell: 132
Electronic total energy, eV per atom: -3.4751
Space-group type: No. 136

The following is a PBE calculation of a geometry-optimized LuTiAgIr structure, from Alexandria.

Geometry as extended XYZ:
```
4
Lattice="0.000 3.318 3.318 3.318 0.000 3.318 3.318 3.318 0.000" Properties=species:S:1:pos:R:3 pbc="T T T"
Lu 0.000 0.000 0.000
Ti 3.318 3.318 3.318
Ag 1.659 1.659 1.659
Ir 4.977 4.977 4.977
```

## Properties
Calculated formation energy, meV/atom: -429
Volume, Å³/cell: 73
Electronic total energy, eV per atom: -6.4606
Space-group type: No. 216